DFT (PBE-GGA) results for an optimized crystal structure of Zn2CdCu.

Geometry as CIF:
```
data_Zn2CdCu
_chemical_formula_sum 'Zn4 Cd2 Cu2'
_cell_length_a 4.022
_cell_length_b 4.022
_cell_length_c 7.786
_cell_angle_alpha 90.00
_cell_angle_beta 90.00
_cell_angle_gamma 90.00
_space_group_name_H-M_alt 'I -4 m 2'
_space_group_IT_number 119
_space_group_name_Hall 'I -4 -2'
loop_
_atom_site_label
_atom_site_type_symbol
_atom_site_fract_x
_atom_site_fract_y
_atom_site_fract_z
Zn1 Zn 0.000 0.000 0.000
Zn2 Zn 0.000 0.500 0.250
Cd1 Cd 0.000 0.500 0.750
Cu1 Cu 0.000 0.000 0.500
```

## Properties
energy relative to the elements	0.26	eV per formula unit
density	8.1	g/cm³

=====

DFT (PBE-GGA) results for an optimized crystal structure of U2Pd7Au3.

Geometry as CIF:
```
data_U2Pd7Au3
_chemical_formula_sum 'U4 Pd14 Au6'
_cell_length_a 4.274
_cell_length_b 4.274
_cell_length_c 23.381
_cell_angle_alpha 90.00
_cell_angle_beta 90.00
_cell_angle_gamma 90.00
_space_group_name_H-M_alt 'I 4/m m m'
_space_group_IT_number 139
_space_group_name_Hall '-I 4 2'
loop_
_atom_site_label
_atom_site_type_symbol
_atom_site_fract_x
_atom_site_fract_y
_atom_site_fract_z
U1 U 0.000 0.000 0.162
Pd1 Pd 0.000 0.000 0.500
Pd2 Pd 0.000 0.500 0.081
Pd3 Pd 0.000 0.500 0.250
Au1 Au 0.000 0.000 0.000
Au2 Au 0.000 0.000 0.337
```

## Properties
energy relative to the elements	-3.95	eV per formula unit
density	14.1	g/cm³

=====

DFT (PBE-GGA) results for an optimized crystal structure of Ir3Se.

Geometry as CIF:
```
data_Ir3Se
_chemical_formula_sum 'Ir12 Se4'
_cell_length_a 5.5854
_cell_length_b 5.5854
_cell_length_c 9.0874
_cell_angle_alpha 90.00
_cell_angle_beta 90.00
_cell_angle_gamma 120.00
_space_group_name_H-M_alt 'P 63/m m c'
_space_group_IT_number 194
_space_group_name_Hall '-P 6c 2c'
loop_
_atom_site_label
_atom_site_type_symbol
_atom_site_fract_x
_atom_site_fract_y
_atom_site_fract_z
Ir1 Ir 0.0000 0.5000 0.0000
Ir2 Ir 0.1707 0.3415 0.2500
Se1 Se 0.0000 0.0000 0.0000
Se2 Se 0.3333 0.6667 0.7500
```

## Properties
raw formation energy	589	meV per atom
density	17.7	g/cm³

=====

DFT (PBE-GGA) results for an optimized crystal structure of Tb6Sm4Tm19.

Geometry as CIF:
```
data_Tb6Sm4Tm19
_chemical_formula_sum 'Tb12 Sm8 Tm38'
_cell_length_a 12.348
_cell_length_b 12.348
_cell_length_c 12.348
_cell_angle_alpha 90.00
_cell_angle_beta 90.00
_cell_angle_gamma 90.00
_space_group_name_H-M_alt 'I 2 3'
_space_group_IT_number 197
_space_group_name_Hall 'I 2 2 3'
loop_
_atom_site_label
_atom_site_type_symbol
_atom_site_fract_x
_atom_site_fract_y
_atom_site_fract_z
Tb1 Tb 0.000 0.128 0.500
Sm1 Sm 0.179 0.179 0.179
Tm1 Tm 0.000 0.000 0.000
Tm2 Tm 0.000 0.000 0.260
Tm3 Tm 0.063 0.276 0.739
```

## Properties
energy relative to the elements	11.31	eV per formula unit
density	8.4	g/cm³

=====

Calculated values (μB/cell) of total magnetization for the records, taken in order: 0.00; 7.67; 0.00; 0.00.
Calculated values (eV per atom) of E for the records, taken in order: -1.8259; -6.0586; -6.9279; -4.1486.